VASP calculation (PBE-GGA) on crystalline TmMg2Pb5 at its relaxed geometry.

```
16
Lattice="6.517 0.000 0.000 0.000 12.461 0.000 0.000 0.000 5.540" Properties=species:S:1:pos:R:3 pbc="T T T"
Tm 0.000 0.000 0.000
Tm 3.259 6.231 0.000
Mg 1.131 4.857 2.770
Mg 2.128 11.087 2.770
Mg 4.390 1.374 2.770
Mg 5.386 7.604 2.770
Pb 0.000 6.231 0.000
Pb 1.071 1.599 2.770
Pb 1.302 9.466 0.000
Pb 1.956 3.236 0.000
Pb 2.188 7.830 2.770
Pb 3.259 0.000 0.000
Pb 4.329 4.631 2.770
Pb 4.561 9.225 0.000
Pb 5.215 2.995 0.000
Pb 5.447 10.862 2.770
```

## Properties
Energy above the most stable polymorph in this dataset: 0 meV/atom
Energy relative to the elements: -0.097 eV per atom